# SrNd2Mn3O9 (meta-GGA SCAN, PBEsol geometry)
# theoretical density: 6.7 g/cm3
# energy relative to the elements, uncorrected: -2.952 eV/atom
data_SrNd2Mn3O9
_cell_length_a 5.426
_cell_length_b 7.649
_cell_length_c 16.245
_cell_angle_alpha 90.00
_cell_angle_beta 90.00
_cell_angle_gamma 90.00
_symmetry_space_group_name_H-M 'P 1'
_symmetry_Int_Tables_number 1
_symmetry_space_group_name_Hall 'P 1'
loop_
_atom_site_label
_atom_site_type_symbol
_atom_site_fract_x
_atom_site_fract_y
_atom_site_fract_z
_atom_site_occupancy
Nd1 Nd 0.498 0.250 0.678 1
Nd2 Nd 0.492 0.250 0.010 1
Mn1 Mn 0.496 0.000 0.166 1
O1 O 0.779 0.954 0.909 1
Nd3 Nd 0.992 0.750 0.490 1
O2 O 0.741 0.528 0.745 1
O3 O 0.071 0.750 0.003 1
O4 O 0.779 0.546 0.909 1
O5 O 0.721 0.546 0.409 1
Mn2 Mn 0.504 0.500 0.834 1
O6 O 0.759 0.528 0.245 1
O7 O 0.241 0.028 0.755 1
Nd4 Nd 0.008 0.250 0.510 1
O8 O 0.053 0.750 0.668 1
O9 O 0.785 0.528 0.571 1
O10 O 0.553 0.250 0.832 1
O11 O 0.279 0.454 0.591 1
O12 O 0.947 0.250 0.332 1
O13 O 0.215 0.028 0.429 1
Mn3 Mn 0.996 0.500 0.334 1
Sr1 Sr 0.992 0.750 0.161 1
Mn4 Mn 0.496 0.500 0.166 1
Mn5 Mn 0.004 0.500 0.666 1
Nd5 Nd 0.998 0.750 0.822 1
O14 O 0.429 0.750 0.503 1
Mn6 Mn 0.500 0.500 0.500 1
Mn7 Mn 0.504 0.000 0.834 1
Mn8 Mn 0.996 0.000 0.334 1
O15 O 0.447 0.750 0.168 1
Sr2 Sr 0.492 0.250 0.339 1
O16 O 0.221 0.046 0.091 1
O17 O 0.259 0.472 0.255 1
Mn9 Mn 0.004 0.000 0.666 1
O18 O 0.721 0.954 0.409 1
Nd6 Nd 0.502 0.750 0.322 1
O19 O 0.285 0.028 0.929 1
O20 O 0.935 0.250 0.662 1
O21 O 0.571 0.250 0.497 1
O22 O 0.715 0.972 0.071 1
Mn10 Mn 0.000 0.000 0.000 1
O23 O 0.715 0.528 0.071 1
O24 O 0.565 0.250 0.162 1
O25 O 0.279 0.046 0.591 1
O26 O 0.785 0.972 0.571 1
O27 O 0.435 0.750 0.838 1
O28 O 0.929 0.250 0.997 1
O29 O 0.065 0.750 0.338 1
Nd7 Nd 0.508 0.750 0.990 1
O30 O 0.741 0.972 0.745 1
Sr3 Sr 0.008 0.250 0.839 1
O31 O 0.285 0.472 0.929 1
Nd8 Nd 0.002 0.250 0.178 1
O32 O 0.241 0.472 0.755 1
Mn11 Mn 0.000 0.500 0.000 1
O33 O 0.259 0.028 0.255 1
Sr4 Sr 0.508 0.750 0.661 1
O34 O 0.759 0.972 0.245 1
Mn12 Mn 0.500 0.000 0.500 1
O35 O 0.215 0.472 0.429 1
O36 O 0.221 0.454 0.091 1